# NaMnPd2 | Alexandria | PBE | relaxed
# **Magnetic moment**: 4.558 Bohr magnetons per cell
# **Energy relative to the elements**: -0.23 eV/f.u.
# **Distance to the lowest polymorph of the same formula**: 0.101 eV/atom
# **Calculated density**: 7474 kg/m3
data_NaMnPd2
_cell_length_a 4.579
_cell_length_b 4.579
_cell_length_c 3.081
_cell_angle_alpha 90.00
_cell_angle_beta 90.00
_cell_angle_gamma 90.00
_symmetry_space_group_name_H-M 'P 4/m m m'
_symmetry_Int_Tables_number 123
_symmetry_space_group_name_Hall '-P 4 2'
loop_
_atom_site_label
_atom_site_type_symbol
_atom_site_fract_x
_atom_site_fract_y
_atom_site_fract_z
Na1 Na 0.000 0.000 0.000
Mn1 Mn 0.500 0.500 0.000
Pd1 Pd 0.000 0.500 0.500

# Ta2AlFe | Alexandria | PBE | relaxed
# **Magnetic moment**: 0.004 Bohr magnetons per cell
# **Energy relative to the elements**: -0.36 eV/f.u.
# **Calculated density**: 11923 kg/m3
data_Ta2AlFe
_cell_length_a 2.902
_cell_length_b 3.865
_cell_length_c 5.559
_cell_angle_alpha 90.00
_cell_angle_beta 96.63
_cell_angle_gamma 90.00
_symmetry_space_group_name_H-M 'P 1 2/m 1'
_symmetry_Int_Tables_number 10
_symmetry_space_group_name_Hall '-P 2y'
loop_
_atom_site_label
_atom_site_type_symbol
_atom_site_fract_x
_atom_site_fract_y
_atom_site_fract_z
Ta1 Ta 0.046 0.000 0.265
Al1 Al 0.500 0.500 0.000
Fe1 Fe 0.500 0.500 0.500

# Ce2PmThSb4 | Alexandria | PBE | relaxed
# **Magnetic moment**: 1.854 Bohr magnetons per cell
# **Formation energy (no corrections)**: -8.50 eV per formula unit
# **Calculated density**: 7357 kg/m3
data_Ce2PmThSb4
_cell_length_a 7.780
_cell_length_b 4.498
_cell_length_c 7.825
_cell_angle_alpha 90.00
_cell_angle_beta 109.39
_cell_angle_gamma 90.00
_symmetry_space_group_name_H-M 'P 1 2/m 1'
_symmetry_Int_Tables_number 10
_symmetry_space_group_name_Hall '-P 2y'
loop_
_atom_site_label
_atom_site_type_symbol
_atom_site_fract_x
_atom_site_fract_y
_atom_site_fract_z
Ce1 Ce 0.000 0.000 0.000
Ce2 Ce 0.500 0.500 0.000
Pm1 Pm 0.000 0.500 0.500
Th1 Th 0.500 0.000 0.500
Sb1 Sb 0.249 0.500 0.250
Sb2 Sb 0.250 0.000 0.750